1.
Here is Na3Y2GaO6 after structural relaxation from Alexandria. Energies are from PBE.

POSCAR file:
```
Na3Y2GaO6
1.0
2.858 -4.963 0.000
2.858 4.963 0.000
-1.863 0.000 5.560
Na Y Ga O
3 2 1 6
direct
0.000 0.000 0.000
0.345 0.655 0.000
0.655 0.345 0.000
0.167 0.833 0.500
0.833 0.167 0.500
0.500 0.500 0.500
0.122 0.432 0.291
0.258 0.258 0.704
0.432 0.122 0.291
0.568 0.878 0.709
0.742 0.742 0.296
0.878 0.568 0.709
```

* formation energy (no corrections): -2396 meV per atom
* space-group type: C2/m (12)

***

2.
Here is Na3Y3GaO8 after structural relaxation from Alexandria. Energies are from PBE.

POSCAR file:
```
Na3Y3GaO8
1.0
3.368 1.944 5.518
-3.368 1.944 5.518
0.000 -3.889 5.518
Na Y Ga O
3 3 1 8
direct
0.000 0.500 0.500
0.500 0.000 0.500
0.500 0.500 0.000
0.000 0.000 0.500
0.000 0.500 0.000
0.500 0.000 0.000
0.500 0.500 0.500
0.237 0.237 0.237
0.263 0.717 0.717
0.283 0.283 0.737
0.283 0.737 0.283
0.717 0.263 0.717
0.717 0.717 0.263
0.737 0.283 0.283
0.763 0.763 0.763
```

* formation energy (no corrections): -2424 meV per atom
* space-group type: R-3m (166)

***

3.
Here is NaY2GaO5 after structural relaxation from Alexandria. Energies are from PBE.

POSCAR file:
```
NaY2GaO5
1.0
6.489 0.000 0.000
0.000 6.489 0.000
0.000 0.000 5.707
Na Y Ga O
2 4 2 10
direct
0.000 0.000 0.000
0.500 0.500 0.000
0.178 0.322 0.500
0.322 0.822 0.500
0.678 0.178 0.500
0.822 0.678 0.500
0.000 0.500 0.000
0.500 0.000 0.000
0.000 0.000 0.500
0.138 0.638 0.243
0.138 0.638 0.757
0.362 0.138 0.243
0.362 0.138 0.757
0.500 0.500 0.500
0.638 0.862 0.243
0.638 0.862 0.757
0.862 0.362 0.243
0.862 0.362 0.757
```

* formation energy (no corrections): -2568 meV per atom
* space-group type: P4/mbm (127)

***

4.
Here is Na2ZnGaO4 after structural relaxation from Alexandria. Energies are from PBE.

POSCAR file:
```
Na2ZnGaO4
1.0
5.996 0.000 0.000
0.000 5.996 0.000
0.000 0.000 5.519
Na Zn Ga O
4 2 2 8
direct
0.000 0.500 0.000
0.000 0.500 0.500
0.500 0.000 0.000
0.500 0.000 0.500
0.000 0.000 0.000
0.500 0.500 0.500
0.000 0.000 0.500
0.500 0.500 0.000
0.160 0.160 0.737
0.160 0.840 0.263
0.340 0.340 0.237
0.340 0.660 0.763
0.660 0.340 0.763
0.660 0.660 0.237
0.840 0.160 0.263
0.840 0.840 0.737
```

* formation energy (no corrections): -1320 meV per atom
* space-group type: I-42m (121)

***

5.
Here is NaZnGaO3 after structural relaxation from Alexandria. Energies are from PBE.

POSCAR file:
```
NaZnGaO3
1.0
6.852 0.000 0.000
0.000 3.002 0.000
-0.802 0.000 8.809
Na Zn Ga O
2 2 2 6
direct
0.225 0.250 0.244
0.775 0.750 0.756
0.396 0.750 0.891
0.604 0.250 0.109
0.130 0.250 0.605
0.870 0.750 0.395
0.155 0.750 0.450
0.162 0.750 0.745
0.412 0.750 0.123
0.588 0.250 0.877
0.838 0.250 0.255
0.845 0.250 0.550
```

* formation energy (no corrections): -1549 meV per atom
* space-group type: P2_1/m (11)

***

6.
Here is NaZrGa2O6 after structural relaxation from Alexandria. Energies are from PBE.

POSCAR file:
```
NaZrGa2O6
1.0
4.870 -4.900 0.000
4.870 4.900 0.000
-1.370 0.000 5.569
Na Zr Ga O
2 2 4 12
direct
0.219 0.781 0.750
0.781 0.219 0.250
0.400 0.600 0.250
0.600 0.400 0.750
0.100 0.277 0.788
0.277 0.100 0.288
0.723 0.900 0.712
0.900 0.723 0.212
0.067 0.164 0.061
0.125 0.608 0.324
0.164 0.067 0.561
0.316 0.451 0.887
0.392 0.875 0.176
0.451 0.316 0.387
0.549 0.684 0.613
0.608 0.125 0.824
0.684 0.549 0.113
0.836 0.933 0.439
0.875 0.392 0.676
0.933 0.836 0.939
```

* formation energy (no corrections): -2092 meV per atom
* space-group type: C2/c (15)

***

7.
Here is Na2ZrGa2O6 after structural relaxation from Alexandria. Energies are from PBE.

POSCAR file:
```
Na2ZrGa2O6
1.0
5.312 0.000 0.000
-2.656 4.600 0.000
0.000 0.000 5.713
Na Zr Ga O
2 1 2 6
direct
0.333 0.667 0.000
0.667 0.333 0.000
0.000 0.000 0.500
0.333 0.667 0.500
0.667 0.333 0.500
0.000 0.349 0.689
0.000 0.651 0.311
0.349 0.000 0.689
0.349 0.349 0.311
0.651 0.000 0.311
0.651 0.651 0.689
```

* formation energy (no corrections): -2147 meV per atom
* space-group type: P-31m (162)

***

8.
Here is NaZrGaO4 after structural relaxation from Alexandria. Energies are from PBE.

POSCAR file:
```
NaZrGaO4
1.0
3.189 -4.858 0.000
3.189 4.858 0.000
0.000 0.000 6.628
Na Zr Ga O
2 2 2 8
direct
0.000 0.000 0.000
0.000 0.000 0.500
0.356 0.644 0.750
0.644 0.356 0.250
0.353 0.647 0.250
0.647 0.353 0.750
0.253 0.747 0.015
0.253 0.747 0.485
0.279 0.292 0.250
0.292 0.279 0.750
0.708 0.721 0.250
0.721 0.708 0.750
0.747 0.253 0.515
0.747 0.253 0.985
```

* formation energy (no corrections): -2286 meV per atom
* space-group type: Cmcm (63)

***

9.
Here is NaGa2Os after structural relaxation from Alexandria. Energies are from PBE.

POSCAR file:
```
NaGa2Os
1.0
3.128 0.000 0.000
0.000 3.128 0.000
0.000 0.000 7.205
Na Ga Os
1 2 1
direct
0.000 0.000 0.000
0.500 0.500 0.302
0.500 0.500 0.698
0.000 0.000 0.500
```

* offset from the most stable computed form: 0.00 kcal/mol of atoms
* space-group type: P4/mmm (123)
* formation energy: 0.046 eV per atom

***

10.
Here is Na2GaOs after structural relaxation from Alexandria. Energies are from PBE.

POSCAR file:
```
Na2GaOs
1.0
8.110 0.000 0.000
0.000 8.110 0.000
0.000 0.000 4.996
Na Ga Os
8 4 4
direct
0.244 0.750 0.125
0.250 0.244 0.875
0.250 0.256 0.375
0.256 0.750 0.625
0.744 0.250 0.625
0.750 0.744 0.375
0.750 0.756 0.875
0.756 0.250 0.125
0.000 0.000 0.000
0.000 0.500 0.250
0.500 0.000 0.750
0.500 0.500 0.500
0.000 0.000 0.500
0.000 0.500 0.750
0.500 0.000 0.250
0.500 0.500 0.000
```

* space-group type: I-42d (122)
* formation energy: 0.858 eV per atom

***

11.
Here is NaGa2Os after structural relaxation from Alexandria. Energies are from PBE.

POSCAR file:
```
NaGa2Os
1.0
5.418 0.000 0.000
0.000 5.418 0.000
0.000 0.000 15.677
Na Ga Os
4 8 4
direct
0.000 0.000 0.000
0.000 0.500 0.250
0.500 0.000 0.750
0.500 0.500 0.500
0.009 0.250 0.625
0.250 0.509 0.875
0.250 0.991 0.375
0.491 0.250 0.125
0.509 0.750 0.125
0.750 0.009 0.375
0.750 0.491 0.875
0.991 0.750 0.625
0.000 0.000 0.500
0.000 0.500 0.750
0.500 0.000 0.250
0.500 0.500 0.000
```

* offset from the most stable computed form: 9.71 kcal/mol of atoms
* space-group type: I-42d (122)
* formation energy: 0.467 eV per atom

***

12.
Here is Na2Ga2Os after structural relaxation from Alexandria. Energies are from PBE.

POSCAR file:
```
Na2Ga2Os
1.0
6.670 0.000 0.000
0.000 6.670 0.000
0.000 0.000 5.242
Na Ga Os
4 4 2
direct
0.177 0.323 0.000
0.323 0.823 0.000
0.677 0.177 0.000
0.823 0.677 0.000
0.193 0.693 0.500
0.307 0.193 0.500
0.693 0.807 0.500
0.807 0.307 0.500
0.000 0.000 0.500
0.500 0.500 0.500
```

* space-group type: P4/mbm (127)
* formation energy: 0.229 eV per atom

***

| no. | energy (eV/atom) |
| --- | --- |
| 1 | -6.534 |
| 2 | -6.826 |
| 3 | -7.242 |
| 4 | -4.667 |
| 5 | -4.965 |
| 6 | -6.659 |
| 7 | -6.419 |
| 8 | -6.961 |
| 9 | -4.605 |
| 10 | -3.366 |
| 11 | -4.184 |
| 12 | -3.755 |